[1]
CeMoF6 after structural relaxation, computed with PBE with a Hubbard U.

Results
* E_tot: -50.02 eV for the cell shown
* space-group type: C2, No. 5

a b c (Å): 6.5841 5.5283 5.5283
angles (deg): 47.70 102.52 77.48
Each line ends with the local moment (μB).
Fractional positions:
F 0.7382 0.2120 0.5766  -0.01
F 0.7776 0.8365 0.2395  -0.01
F 0.2618 0.5766 0.2120  -0.01
F 0.2224 0.2395 0.8365  -0.01
F 0.7666 0.5022 0.8893  -0.01
F 0.2334 0.8893 0.5022  -0.01
Ce 0.5000 0.8668 0.8668  -0.98
Mo 0.0000 0.0431 0.0431  -2.79

=====

[2]
Na2CeMoF8 after structural relaxation, computed with PBE with a Hubbard U.

Results
* E_tot: -67.71 eV for the cell shown
* space-group type: P-1, No. 2

a b c (Å): 4.1254 5.5524 7.5288
angles (deg): 89.86 90.06 92.31
Each line ends with the local moment (μB).
Fractional positions:
Ce 0.0000 0.0000 0.5000  0.97
F 0.0672 0.7724 0.2298  0.01
F 0.5211 0.7596 0.4992  -0.01
F 0.4789 0.2404 0.5008  -0.01
F 0.0670 0.7745 0.7695  0.00
F 0.9330 0.2255 0.2305  0.00
F 0.9328 0.2276 0.7702  0.01
F 0.4133 0.2311 0.0007  0.03
F 0.5867 0.7689 0.9993  0.03
Na 0.4993 0.4996 0.7677  0.00
Na 0.5007 0.5004 0.2323  0.00
Mo 0.0000 0.0000 0.0000  2.80

=====

[3]
CeMoO4F after structural relaxation, computed with PBE with a Hubbard U.

Results
* E_tot: -209.98 eV for the cell shown
* space-group type: P2_1/c, No. 14

a b c (Å): 6.6414 6.9753 10.1448
angles (deg): 64.80 90.00 90.00
Each line ends with the local moment (μB).
Fractional positions:
O 0.4003 0.2179 0.9158  -0.01
O 0.1404 0.8366 0.0801  -0.01
O 0.1652 0.4431 0.6302  -0.02
O 0.5997 0.7821 0.0842  -0.01
O 0.6404 0.1635 0.4199  -0.01
O 0.6056 0.4400 0.6359  -0.01
O 0.3944 0.5600 0.3641  -0.01
O 0.8348 0.5569 0.3698  -0.02
O 0.9003 0.7821 0.5842  -0.01
O 0.6652 0.5569 0.8698  -0.02
O 0.1056 0.5600 0.8641  -0.01
O 0.8944 0.4400 0.1359  -0.01
O 0.3596 0.8366 0.5801  -0.01
O 0.0997 0.2179 0.4158  -0.01
O 0.8596 0.1635 0.9199  -0.01
O 0.3348 0.4431 0.1302  -0.02
Ce 0.8709 0.8002 0.9253  0.85
Ce 0.6291 0.8002 0.4253  0.85
Ce 0.1291 0.1998 0.0747  0.85
Ce 0.3709 0.1998 0.5747  0.85
Mo 0.8642 0.3308 0.3346  0.17
Mo 0.1358 0.6692 0.6654  0.17
Mo 0.3642 0.6692 0.1654  0.17
Mo 0.6358 0.3308 0.8346  0.17
F 0.1132 0.9794 0.7364  0.00
F 0.3868 0.9794 0.2364  0.00
F 0.8868 0.0206 0.2636  0.00
F 0.6132 0.0206 0.7636  0.00

=====

Computed values of volume (unit: Å³ per cell) for the preceding records, in sequence: 125.6 172.3 425.3.